DFT (PBE) results for crystalline TmNiGe2 at its relaxed geometry.

Energy of formation from the pure elements, eV/atom: -0.608
ρ, g/cm³: 8.8

Structure (CIF):
```
data_TmNiGe2
_symmetry_space_group_name_H-M 'R -3 m'
_symmetry_Int_Tables_number 166
_symmetry_space_group_name_Hall '-R 3 2"'
_cell_length_a 4.0008
_cell_length_b 4.0008
_cell_length_c 15.1940
_cell_angle_alpha 90.00
_cell_angle_beta 90.00
_cell_angle_gamma 120.00
loop_
_atom_site_label
_atom_site_type_symbol
_atom_site_fract_x
_atom_site_fract_y
_atom_site_fract_z
Tm1 Tm 0.0000 0.0000 0.0000
Ni1 Ni 0.0000 0.0000 0.5000
Ge1 Ge 0.0000 0.0000 0.2198
```